No. 1
Material: CeSm2Cu
Method: DFT, PBE
State: relaxed

Unit cell a=3.6043 b=3.6043 c=10.3188 alpha=79.94 beta=79.94 gamma=60.00
Closest atoms and distances in Å follow each position.
Element x y z (fractional)
Cu  0.6666  0.6666  0.0003  6 Sm 2.94-2.95
Ce  0.4998  0.4998  0.5006  6 Ce 3.60, 6 Sm 3.62-3.63
Sm  0.2647  0.2647  0.2058  3 Cu 2.94
Sm  0.0689  0.0689  0.7933  3 Cu 2.95

Computed properties:
Energy relative to the elements in eV/atom: 0.12
Total DFT energy (no corrections) in Ry/atom: -0.3492
Symmetry: No. 160
Relative energy among the computed polymorphs in meV/atom: 140

No. 2
Material: Ce2SmCu2Sn2
Method: DFT, PBE
State: relaxed

Unit cell a=4.4790 b=4.4790 c=9.6850 alpha=76.63 beta=76.63 gamma=60.00
Closest atoms and distances in Å follow each position.
Element x y z (fractional)
Cu  0.5846  0.5846  0.2461  3 Sn 2.61
Sm  0.0000  0.0000  0.0000  6 Sn 3.22, 6 Cu 3.46
Cu  0.4154  0.4154  0.7539  3 Sn 2.61
Ce  0.8577  0.8577  0.4268  3 Ce 2.92, 3 Cu 3.09
Ce  0.1423  0.1423  0.5732  3 Ce 2.92, 3 Cu 3.09
Sn  0.7353  0.7353  0.7940  3 Cu 2.61
Sn  0.2647  0.2647  0.2060  3 Cu 2.61

Computed properties:
Energy relative to the elements in eV/atom: -0.40
Total DFT energy (no corrections) in Ry/atom: -0.3737
Symmetry: No. 166

No. 3
Material: CeSmTlCu
Method: DFT, PBE
State: relaxed

Unit cell a=5.2992 b=5.2992 c=5.2992 alpha=60.00 beta=60.00 gamma=60.00
Closest atoms and distances in Å follow each position.
Element x y z (fractional)
Cu  0.2500  0.2500  0.2500  4 Ce 3.25, 4 Sm 3.25
Ce  0.0000  0.0000  0.0000  4 Tl 3.25, 4 Cu 3.25
Tl  0.7500  0.7500  0.7500  4 Ce 3.25, 4 Sm 3.25
Sm  0.5000  0.5000  0.5000  4 Cu 3.25, 4 Tl 3.25

Computed properties:
Energy relative to the elements in eV/atom: -0.12
Total DFT energy (no corrections) in Ry/atom: -0.3234
Symmetry: No. 216

No. 4
Material: CeSmZnCu
Method: DFT, PBE
State: relaxed

Unit cell a=5.0861 b=5.0861 c=5.0861 alpha=60.00 beta=60.00 gamma=60.00
Closest atoms and distances in Å follow each position.
Element x y z (fractional)
Sm  0.7500  0.7500  0.7500  4 Zn 3.11, 4 Cu 3.11
Ce  0.2500  0.2500  0.2500  4 Zn 3.11, 4 Cu 3.11
Cu  0.0000  0.0000  0.0000  4 Ce 3.11, 4 Sm 3.11
Zn  0.5000  0.5000  0.5000  4 Sm 3.11, 4 Ce 3.11

Computed properties:
Energy relative to the elements in eV/atom: -0.14
Total DFT energy (no corrections) in Ry/atom: -0.3049
Symmetry: No. 216

No. 5
Material: CeCu4Sn
Method: DFT, PBE
State: relaxed

Unit cell a=5.2215 b=5.2215 c=5.2215 alpha=60.00 beta=60.00 gamma=60.00
Closest atoms and distances in Å follow each position.
Element x y z (fractional)
Cu  0.6249  0.1253  0.6249  6 Cu 2.61
Ce  0.0000  0.0000  0.0000  12 Cu 3.06, 4 Sn 3.20
Cu  0.6249  0.6249  0.6249  6 Cu 2.61
Cu  0.6249  0.6249  0.1253  6 Cu 2.61
Sn  0.2500  0.2500  0.2500  12 Cu 3.06, 4 Ce 3.20
Cu  0.1253  0.6249  0.6249  6 Cu 2.61

Computed properties:
Energy relative to the elements in eV/atom: -0.14
Total DFT energy (no corrections) in Ry/atom: -0.3324
Symmetry: No. 216
Relative energy among the computed polymorphs in meV/atom: 0

No. 6
Material: CeCu2Sn
Method: DFT, PBE
State: relaxed

Unit cell a=4.4087 b=5.0637 c=4.5015 alpha=124.23 beta=90.00 gamma=90.00
Closest atoms and distances in Å follow each position.
Element x y z (fractional)
Ce  0.5000  0.8188  0.6375  2 Cu 2.62
Sn  0.0000  0.4588  0.9176  5 Cu 2.70-2.79
Cu  0.0000  0.0957  0.1914  2 Cu 2.42, 1 Sn 2.70
Cu  0.5000  0.2298  0.4596  2 Cu 2.42, 2 Ce 2.62

Computed properties:
Energy relative to the elements in eV/atom: -0.20
Total DFT energy (no corrections) in Ry/atom: -0.3480
Symmetry: No. 38

No. 7
Material: Ce2Cu3Sn3
Method: DFT, PBE
State: relaxed

Unit cell a=2.9261 b=2.9261 c=22.3561 alpha=90.00 beta=90.00 gamma=90.00
Closest atoms and distances in Å follow each position.
Element x y z (fractional)
Cu  0.5000  0.5000  0.1190  1 Sn 2.66, 1 Ce 2.80, 4 Cu 2.93
Cu  0.5000  0.5000  0.8810  1 Sn 2.66, 1 Ce 2.80, 4 Cu 2.93
Ce  0.5000  0.5000  0.7559  1 Cu 2.80, 4 Ce 2.93
Ce  0.5000  0.5000  0.2441  1 Cu 2.80, 4 Ce 2.93
Cu  0.5000  0.5000  0.5000  2 Sn 2.55
Sn  0.5000  0.5000  0.0000  2 Cu 2.66, 4 Sn 2.93
Sn  0.5000  0.5000  0.6140  1 Cu 2.55
Sn  0.5000  0.5000  0.3860  1 Cu 2.55

Computed properties:
Energy relative to the elements in eV/atom: 0.51
Total DFT energy (no corrections) in Ry/atom: -0.2949
Symmetry: No. 123

No. 8
Material: Ce3Cu2Sn2
Method: DFT, PBE
State: relaxed

Unit cell a=4.4459 b=4.1963 c=10.0737 alpha=102.02 beta=102.75 gamma=90.00
Closest atoms and distances in Å follow each position.
Element x y z (fractional)
Ce  0.6872  0.1872  0.3744  2 Cu 3.18, 5 Sn 3.19-3.33
Ce  0.3128  0.8128  0.6256  2 Cu 3.18, 5 Sn 3.19-3.33
Sn  0.1392  0.6392  0.2783  2 Cu 2.67
Ce  0.0000  0.0000  0.0000  8 Cu 3.28, 4 Sn 3.40
Cu  0.4374  0.4374  0.8748  1 Cu 2.40, 2 Sn 2.67
Cu  0.5626  0.5626  0.1252  1 Cu 2.40, 2 Sn 2.67
Sn  0.8608  0.3608  0.7216  2 Cu 2.67

Computed properties:
Energy relative to the elements in eV/atom: -0.38
Total DFT energy (no corrections) in Ry/atom: -0.3849
Symmetry: No. 71

No. 9
Material: CeCuSn2
Method: DFT, PBE
State: relaxed

Unit cell a=3.2548 b=3.2548 c=10.7268 alpha=81.27 beta=81.27 gamma=60.00
Closest atoms and distances in Å follow each position.
Element x y z (fractional)
Sn  0.1023  0.1023  0.6932  3 Cu 2.77
Ce  0.0000  0.0000  0.0000  2 Sn 3.24, 6 Ce 3.25
Sn  0.8977  0.8977  0.3068  3 Cu 2.77
Cu  0.5000  0.5000  0.5000  6 Sn 2.77

Computed properties:
Energy relative to the elements in eV/atom: 0.14
Total DFT energy (no corrections) in Ry/atom: -0.3208
Symmetry: No. 166
Relative energy among the computed polymorphs in meV/atom: 591

No. 10
Material: CeCuSn2
Method: DFT, PBE
State: relaxed

Unit cell a=4.4460 b=4.5789 c=4.5789 alpha=90.00 beta=90.00 gamma=90.00
Closest atoms and distances in Å follow each position.
Element x y z (fractional)
Ce  0.5000  0.5000  0.5000  8 Sn 3.19, 4 Cu 3.24
Sn  0.0000  0.5000  0.0000  4 Ce 3.19, 4 Cu 3.19, 4 Sn 3.24
Cu  0.5000  0.0000  0.0000  8 Sn 3.19, 4 Ce 3.24
Sn  0.0000  0.0000  0.5000  4 Ce 3.19, 4 Cu 3.19, 4 Sn 3.24

Computed properties:
Energy relative to the elements in eV/atom: -0.34
Total DFT energy (no corrections) in Ry/atom: -0.3567
Symmetry: No. 123
Relative energy among the computed polymorphs in meV/atom: 103

No. 11
Material: Ce3Cu2Sn4
Method: DFT, PBE
State: relaxed

Unit cell a=4.6568 b=6.1127 c=8.8934 alpha=106.21 beta=90.00 gamma=112.39
Closest atoms and distances in Å follow each position.
Element x y z (fractional)
Sn  0.0851  0.1701  0.3948  3 Cu 2.64-2.84
Sn  0.7069  0.4137  0.0754  1 Cu 2.64
Cu  0.6846  0.3691  0.3621  4 Sn 2.64-2.84
Ce  0.0000  0.0000  0.0000  8 Sn 3.22-3.57
Ce  0.6344  0.2688  0.6843  3 Cu 3.08-3.21, 8 Sn 3.30-3.45
Sn  0.9149  0.8299  0.6052  3 Cu 2.64-2.84
Cu  0.3154  0.6309  0.6379  4 Sn 2.64-2.84
Ce  0.3656  0.7312  0.3157  3 Cu 3.08-3.21, 8 Sn 3.30-3.45
Sn  0.2931  0.5863  0.9246  1 Cu 2.64

Computed properties:
Energy relative to the elements in eV/atom: -0.49
Total DFT energy (no corrections) in Ry/atom: -0.3789
Symmetry: No. 12

No. 12
Material: CeCuSn2
Method: DFT, PBE
State: relaxed

Unit cell a=4.6157 b=4.6157 c=9.2014 alpha=104.53 beta=104.53 gamma=90.00
Closest atoms and distances in Å follow each position.
Element x y z (fractional)
Cu  0.7500  0.2500  0.5000  4 Sn 2.79, 4 Ce 3.07
Cu  0.2500  0.7500  0.5000  4 Sn 2.79, 4 Ce 3.07
Sn  0.6588  0.6588  0.3176  4 Cu 2.79
Sn  0.0000  0.5000  0.0000  4 Ce 3.24, 8 Sn 3.26-3.58
Sn  0.3412  0.3412  0.6824  4 Cu 2.79
Ce  0.8679  0.8679  0.7359  4 Cu 3.07, 8 Sn 3.24-3.30
Sn  0.5000  0.0000  0.0000  4 Ce 3.24, 8 Sn 3.26-3.58
Ce  0.1321  0.1321  0.2641  4 Cu 3.07, 8 Sn 3.24-3.30

Computed properties:
Energy relative to the elements in eV/atom: -0.45
Total DFT energy (no corrections) in Ry/atom: -0.3643
Symmetry: No. 139
Relative energy among the computed polymorphs in meV/atom: 0

For the records above, the corresponding calculated volume values read 113.7, 162.2, 105.2, 93.0, 100.7, 83.1, 191.4, 179.1, 96.9, 93.2, 223.2, 91.6 Å³/f.u..